[1]
TlCuAsBr6 | PBE-GGA | relaxed

Cell: 6.871 7.408 7.203 Å, 97.18 93.76 57.24°
Site moments in Bohr magnetons follow the coordinates.
Positions (direct):
Tl 0.034 0.982 0.001  0.01
Br 0.967 0.404 0.273  0.12
Br 0.366 0.011 0.671  0.10
Br 0.637 0.018 0.265  0.01
Br 0.632 0.346 0.739  0.01
Br 0.964 0.631 0.725  0.12
Br 0.370 0.621 0.327  0.10
Cu 0.667 0.668 0.497  0.43
As 0.362 0.319 0.501  0.00

Properties
Symmetry: P1


[2]
Tl2CuAsBr6 | PBE-GGA | relaxed

Cell: 7.417 7.539 10.613 Å, 90.00 90.12 90.00°
Positions (direct):
Br 0.784 0.212 0.026
Br 0.712 0.717 0.028
Br 0.216 0.788 0.974
Br 0.284 0.288 0.526
Br 0.555 0.998 0.752
Br 0.788 0.217 0.472
Br 0.716 0.712 0.474
Br 0.288 0.283 0.972
Br 0.445 0.002 0.248
Br 0.055 0.502 0.252
Br 0.212 0.783 0.528
Br 0.945 0.498 0.748
Tl 0.513 0.447 0.249
Tl 0.987 0.947 0.251
Tl 0.013 0.053 0.749
Tl 0.487 0.553 0.751
Cu 0.500 0.000 0.000
Cu 0.000 0.500 0.500
As 0.500 0.000 0.500
As 0.000 0.500 0.000

Properties
Symmetry: P2_1/c


[3]
CuAs2WBr | PBE-GGA | relaxed

Cell: 4.597 5.003 4.597 Å, 90.00 90.00 90.00°
Site moments in Bohr magnetons follow the coordinates.
Positions (direct):
Br 0.000 0.500 0.000  -0.10
Cu 0.000 0.000 0.000  -0.03
As 0.500 0.000 0.000  -0.15
As 0.000 0.000 0.500  -0.15
W 0.500 0.500 0.500  2.65

Properties
Symmetry: P4/mmm


[4]
CuAs2WBr | PBE-GGA | relaxed

Cell: 4.852 4.852 5.271 Å, 90.00 90.00 90.00°
Positions (direct):
Br 0.000 0.000 0.500
As 0.500 0.000 0.000
As 0.000 0.500 0.000
W 0.000 0.000 0.000
Cu 0.500 0.500 0.500

Properties
Symmetry: P4/mmm


[5]
YCuAsBr2 | PBE-GGA | relaxed

Cell: 5.452 5.452 5.864 Å, 90.00 90.00 90.00°
Site moments in Bohr magnetons follow the coordinates.
Positions (direct):
Cu 0.500 0.500 0.500  -0.01
Y 0.000 0.000 0.000  0.02
Br 0.500 0.000 0.000  0.03
Br 0.000 0.500 0.000  0.03
As 0.000 0.000 0.500  0.48

Properties
Symmetry: P4/mmm


[6]
YCuAsBr2 | PBE-GGA | relaxed

Cell: 4.814 4.814 5.200 Å, 90.00 90.00 90.00°
Positions (direct):
Y 0.500 0.500 0.500
Br 0.000 0.500 0.000
Br 0.500 0.000 0.000
Cu 0.000 0.000 0.000
As 0.000 0.000 0.500

Properties
Symmetry: P4/mmm


[7]
YCuAs2Br | PBE-GGA | relaxed

Cell: 5.526 5.526 5.454 Å, 90.00 90.00 90.00°
Site moments in Bohr magnetons follow the coordinates.
Positions (direct):
As 0.000 0.500 0.000  0.21
As 0.500 0.000 0.000  0.21
Cu 0.500 0.500 0.500  0.02
Y 0.000 0.000 0.000  0.01
Br 0.000 0.000 0.500  0.08

Properties
Symmetry: P4/mmm


[8]
YCuAs2Br | PBE-GGA | relaxed

Cell: 4.631 4.631 5.349 Å, 90.00 90.00 90.00°
Positions (direct):
As 0.500 0.000 0.000
As 0.000 0.500 0.000
Br 0.000 0.000 0.500
Y 0.500 0.500 0.500
Cu 0.000 0.000 0.000

Properties
Symmetry: P4/mmm


[9]
ZnCuAs2Br | PBE-GGA | relaxed

Cell: 4.784 4.784 5.391 Å, 90.00 90.00 90.00°
Site moments in Bohr magnetons follow the coordinates.
Positions (direct):
Cu 0.500 0.500 0.500  0.02
As 0.000 0.500 0.000  0.07
As 0.500 0.000 0.000  0.07
Zn 0.000 0.000 0.000  0.00
Br 0.000 0.000 0.500  0.03

Properties
Symmetry: P4/mmm


[10]
ZnCuAsBr2 | PBE-GGA | relaxed

Cell: 5.059 5.059 4.874 Å, 90.00 90.00 90.00°
Site moments in Bohr magnetons follow the coordinates.
Positions (direct):
As 0.000 0.000 0.500  0.45
Br 0.500 0.000 0.000  0.05
Br 0.000 0.500 0.000  0.05
Zn 0.500 0.500 0.500  -0.06
Cu 0.000 0.000 0.000  0.08

Properties
Symmetry: P4/mmm


[11]
ZnCuAsBr2 | PBE-GGA | relaxed

Cell: 5.247 5.247 4.916 Å, 90.00 90.00 90.00°
Site moments in Bohr magnetons follow the coordinates.
Positions (direct):
Br 0.000 0.500 0.000  0.11
Br 0.500 0.000 0.000  0.11
Cu 0.500 0.500 0.500  0.05
Zn 0.000 0.000 0.000  0.01
As 0.000 0.000 0.500  0.59

Properties
Symmetry: P4/mmm


[12]
ZnCuAs2Br | PBE-GGA | relaxed

Cell: 4.736 4.736 5.163 Å, 90.00 90.00 90.00°
Site moments in Bohr magnetons follow the coordinates.
Positions (direct):
Zn 0.500 0.500 0.500  -0.01
Br 0.000 0.000 0.500  0.10
As 0.000 0.500 0.000  0.23
As 0.500 0.000 0.000  0.23
Cu 0.000 0.000 0.000  0.05

Properties
Symmetry: P4/mmm


[13]
ZrCuAsBr2 | PBE-GGA | relaxed

Cell: 5.254 5.254 5.366 Å, 90.00 90.00 90.00°
Positions (direct):
Br 0.000 0.500 0.000
Br 0.500 0.000 0.000
As 0.000 0.000 0.500
Zr 0.000 0.000 0.000
Cu 0.500 0.500 0.500

Properties
Symmetry: P4/mmm


[14]
ZrCuAsBr2 | PBE-GGA | relaxed

Cell: 4.778 5.049 4.778 Å, 90.00 90.00 90.00°
Site moments in Bohr magnetons follow the coordinates.
Positions (direct):
Zr 0.500 0.500 0.500  0.85
Br 0.500 0.000 0.000  -0.05
Br 0.000 0.000 0.500  -0.04
Cu 0.000 0.000 0.000  -0.01
As 0.000 0.500 0.000  -0.10

Properties
Symmetry: P4/mmm


[15]
ZrCuAs2Br | PBE-GGA | relaxed

Cell: 4.672 4.672 4.919 Å, 90.00 90.00 90.00°
Site moments in Bohr magnetons follow the coordinates.
Positions (direct):
Br 0.000 0.000 0.500  0.00
As 0.000 0.500 0.000  -0.01
As 0.500 0.000 0.000  -0.01
Zr 0.500 0.500 0.500  0.08
Cu 0.000 0.000 0.000  0.00

Properties
Symmetry: P4/mmm


[16]
ZrCuAs2Br | PBE-GGA | relaxed

Cell: 5.229 5.229 5.291 Å, 90.00 90.00 90.00°
Positions (direct):
As 0.500 0.000 0.000
As 0.000 0.500 0.000
Zr 0.000 0.000 0.000
Br 0.000 0.000 0.500
Cu 0.500 0.500 0.500

Properties
Symmetry: P4/mmm


[17]
Dy6As5Br | PBE-GGA | relaxed

Cell: 7.136 7.165 7.152 Å, 59.94 80.39 70.53°
Positions (direct):
Dy 0.740 0.439 0.648
Dy 0.740 0.087 0.352
Dy 0.258 0.266 0.000
Dy 0.260 0.913 0.648
Dy 0.742 0.734 0.000
Dy 0.260 0.561 0.352
As 0.500 0.840 0.321
As 0.000 0.332 0.335
As 0.000 0.668 0.665
As 0.500 0.160 0.679
As 0.500 0.500 0.000
Br 0.000 0.000 0.000

Properties
Symmetry: C2/m


[18]
Dy2AsBr | PBE-GGA | relaxed

Cell: 4.061 4.061 7.607 Å, 74.52 74.52 60.00°
Positions (direct):
Dy 0.264 0.264 0.208
Dy 0.069 0.069 0.792
Br 0.498 0.498 0.505
As 0.669 0.669 0.994

Properties
Symmetry: R3m


[19]
DyAsBr | PBE-GGA | relaxed

Cell: 4.158 4.158 12.484 Å, 90.00 90.00 120.00°
Positions (direct):
Dy 0.333 0.667 0.818
Dy 0.667 0.333 0.182
As 0.667 0.333 0.948
As 0.333 0.667 0.052
Br 0.000 0.000 0.325
Br 0.000 0.000 0.675

Properties
Symmetry: P-3m1


[20]
Dy7AsBr12 | PBE-GGA | relaxed

Cell: 9.155 9.155 9.155 Å, 108.01 108.01 108.01°
Positions (direct):
Br 0.313 0.774 0.923
Br 0.531 0.841 0.611
Br 0.923 0.313 0.774
Br 0.611 0.531 0.841
Br 0.774 0.923 0.313
Br 0.226 0.077 0.687
Br 0.841 0.611 0.531
Br 0.469 0.159 0.389
Br 0.077 0.687 0.226
Br 0.159 0.389 0.469
Br 0.687 0.226 0.077
Br 0.389 0.469 0.159
Dy 0.678 0.892 0.966
Dy 0.892 0.966 0.678
Dy 0.108 0.034 0.322
Dy 0.500 0.500 0.500
Dy 0.322 0.108 0.034
Dy 0.034 0.322 0.108
Dy 0.966 0.678 0.892
As 0.000 0.000 0.000

Properties
Symmetry: R-3


Number 1: E -0.206 Ry/atom, uncorrected formation energy -0.447 eV/atom, magnetization 1.04 Bohr magnetons per cell. Number 2: E -0.212 Ry/atom, uncorrected formation energy -0.536 eV/atom, magnetization 0.00 Bohr magnetons per cell. Number 3: E -0.315 Ry/atom, uncorrected formation energy 1.316 eV/atom, magnetization 2.80 Bohr magnetons per cell. Number 4: E -0.355 Ry/atom, uncorrected formation energy 0.778 eV/atom, magnetization 0.00 Bohr magnetons per cell. Number 5: E -0.287 Ry/atom, uncorrected formation energy -0.200 eV/atom, magnetization 1.01 Bohr magnetons per cell. Number 6: E -0.295 Ry/atom, uncorrected formation energy -0.307 eV/atom, magnetization 0.00 Bohr magnetons per cell. Number 7: E -0.291 Ry/atom, uncorrected formation energy 0.353 eV/atom, magnetization 0.99 Bohr magnetons per cell. Number 8: E -0.330 Ry/atom, uncorrected formation energy -0.177 eV/atom, magnetization 0.00 Bohr magnetons per cell. Number 9: E -0.181 Ry/atom, uncorrected formation energy 0.807 eV/atom, magnetization 0.34 Bohr magnetons per cell. Number 10: E -0.170 Ry/atom, uncorrected formation energy 0.354 eV/atom, magnetization 1.07 Bohr magnetons per cell. Number 11: E -0.158 Ry/atom, uncorrected formation energy 0.522 eV/atom, magnetization 1.65 Bohr magnetons per cell. Number 12: E -0.197 Ry/atom, uncorrected formation energy 0.585 eV/atom, magnetization 1.08 Bohr magnetons per cell. Number 13: E -0.304 Ry/atom, uncorrected formation energy -0.005 eV/atom, magnetization 0.00 Bohr magnetons per cell. Number 14: E -0.281 Ry/atom, uncorrected formation energy 0.300 eV/atom, magnetization 0.94 Bohr magnetons per cell. Number 15: E -0.322 Ry/atom, uncorrected formation energy 0.348 eV/atom, magnetization 0.08 Bohr magnetons per cell. Number 16: E -0.323 Ry/atom, uncorrected formation energy 0.327 eV/atom, magnetization 0.00 Bohr magnetons per cell. Number 17: E -0.433 Ry/atom, uncorrected formation energy -1.520 eV/atom, magnetization 0.00 Bohr magnetons per cell. Number 18: E -0.381 Ry/atom, uncorrected formation energy -1.306 eV/atom, magnetization 0.00 Bohr magnetons per cell. Number 19: E -0.352 Ry/atom, uncorrected formation energy -1.141 eV/atom, magnetization 0.00 Bohr magnetons per cell. Number 20: E -0.330 Ry/atom, uncorrected formation energy -1.647 eV/atom, magnetization 0.00 Bohr magnetons per cell.